# 1
PrBN2 | SCAN | PBEsol geometry

Values from the calculation:
Raw formation energy, eV/f.u.: -6.28
Electronic total energy, eV/atom: -18.905

a = 12.1500 Å, b = 12.1500 Å, c = 6.9357 Å
α = 90.00°, β = 90.00°, γ = 120.00°
Space group R-3c (No. 167, hexagonal axes)
Unique sites:
Pr  0.0000  0.4543  0.2500
B  0.0000  0.1195  0.2500
N  0.0000  0.1221  0.7500
N  0.0000  0.2413  0.2500

---

# 2
BeNbFeHg2 | SCAN | PBEsol geometry

Values from the calculation:
E_form, kcal/mol of atoms: 35.01
Electronic total energy, eV/atom: -36.871

a = 5.2024 Å, b = 5.2024 Å, c = 4.3845 Å
α = 90.00°, β = 90.00°, γ = 90.00°
Space group P4/mmm (No. 123)
Unique sites:
Be  0.0000  0.0000  0.0000
Nb  0.0000  0.0000  0.5000
Fe  0.5000  0.5000  0.0000
Hg  0.0000  0.5000  0.5000